Cs9I3ClO2 PBE relaxed; volume = 50.23 A^3/atom; final energy = -42.70 eV/cell
1.0
8.6441 0.0000 0.0000
-4.3221 7.4860 0.0000
0.0000 0.0000 11.6444
Cs I Cl O
9 3 1 2
Cartesian
6.3800 1.3072 8.1973
4.3221 4.8717 8.1973
2.2641 1.3072 8.1973
2.0580 6.1789 3.4471
0.0000 2.6144 3.4471
-2.0580 6.1789 3.4471
4.3221 0.0000 0.0000
-2.1610 3.7430 0.0000
2.1610 3.7430 0.0000
0.0000 4.9907 8.5099
0.0000 0.0000 0.0000
4.3221 2.4953 3.1345
0.0000 0.0000 5.8222
0.0000 4.9907 1.9511
4.3221 2.4953 9.6933